(one)
Computed, not measured: LaTePN2 after structural relaxation at the PBE-GGA level of DFT.

Lattice parameters (Å, degrees): 4.1762 4.1762 7.1758 90.00 90.00 90.00
Last column: nearest neighbours and their distance in Å.
Fractional positions:
La 0.0000 0.0000 0.0000  4 N 2.09
Te 0.0000 0.0000 0.5000  4 P 2.95
P 0.5000 0.5000 0.5000  4 Te 2.95
N 0.0000 0.5000 0.0000  2 La 2.09
N 0.5000 0.0000 0.0000  2 La 2.09

Values from the calculation:
crystal system: tetragonal


(two)
Computed, not measured: LaTePN2 after structural relaxation at the PBE-GGA level of DFT.

Lattice parameters (Å, degrees): 4.2210 4.2210 5.0099 90.00 90.00 90.00
Last column: nearest neighbours and their distance in Å.
Fractional positions:
La 0.0000 0.0000 0.0000  4 Te 2.98, 8 N 3.28
Te 0.5000 0.5000 0.0000  2 P 2.50
P 0.5000 0.5000 0.5000  4 N 2.11
N 0.0000 0.5000 0.5000  2 P 2.11
N 0.5000 0.0000 0.5000  2 P 2.11

Values from the calculation:
crystal system: tetragonal


Verdict on stability: (two) comes out on top.